[1]
The following is a PBE calculation of crystalline Ba4Sb2Pt at its relaxed geometry, from Alexandria.

Results
Formation energy from raw total energies   -0.827 eV/atom
V   44.71 Å³/atom
VASP energy   -3.966 eV/atom

abc: 5.856 5.856 10.021
angles: 106.99 106.99 90.00
Fractional coordinates of all 7 atoms:
Sb: 0.632 0.632 0.264
Sb: 0.368 0.368 0.736
Ba: 0.820 0.820 0.639
Ba: 0.180 0.180 0.361
Ba: 0.000 0.500 0.000
Ba: 0.500 0.000 0.000
Pt: 0.000 0.000 0.000


[2]
The following is a PBE calculation of crystalline BaSb4Pt at its relaxed geometry, from Alexandria.

Results
Formation energy from raw total energies   0.023 eV/atom
V   29.03 Å³/atom
VASP energy   -4.052 eV/atom

abc: 6.269 6.269 6.269
angles: 60.00 60.00 60.00
Fractional coordinates of all 6 atoms:
Ba: 0.750 0.750 0.750
Sb: 0.881 0.373 0.373
Sb: 0.373 0.373 0.881
Sb: 0.373 0.881 0.373
Sb: 0.373 0.373 0.373
Pt: 0.000 0.000 0.000


[3]
The following is a PBE calculation of crystalline BaSb2Pt at its relaxed geometry, from Alexandria.

Results
Formation energy from raw total energies   -0.572 eV/atom
V   29.85 Å³/atom
VASP energy   -4.624 eV/atom

abc: 5.632 5.632 6.303
angles: 66.37 66.37 41.36
Fractional coordinates of all 4 atoms:
Ba: 0.250 0.250 0.250
Pt: 0.750 0.750 0.750
Sb: 0.056 0.056 0.892
Sb: 0.444 0.444 0.608


[4]
The following is a PBE calculation of crystalline BaSb2Pt at its relaxed geometry, from Alexandria.

Results
Formation energy from raw total energies   -0.689 eV/atom
V   29.41 Å³/atom
VASP energy   -4.741 eV/atom

abc: 7.518 7.518 7.518
angles: 33.87 33.87 33.87
Fractional coordinates of all 4 atoms:
Ba: 0.494 0.494 0.494
Pt: 0.670 0.670 0.670
Sb: 0.055 0.055 0.055
Sb: 0.281 0.281 0.281


Number 3 is which compound? BaSb2Pt


Please write out number 1 again, unchanged.
The following is a PBE calculation of crystalline Ba4Sb2Pt at its relaxed geometry, from Alexandria.

Results
Formation energy from raw total energies   -0.827 eV/atom
V   44.71 Å³/atom
VASP energy   -3.966 eV/atom

abc: 5.856 5.856 10.021
angles: 106.99 106.99 90.00
Fractional coordinates of all 7 atoms:
Sb: 0.632 0.632 0.264
Sb: 0.368 0.368 0.736
Ba: 0.820 0.820 0.639
Ba: 0.180 0.180 0.361
Ba: 0.000 0.500 0.000
Ba: 0.500 0.000 0.000
Pt: 0.000 0.000 0.000


Look up the V of the second one. 29.03 Å³/atom